{
  "formula": "MnZn2CuS4",
  "functional": "PBE",
  "state": "optimized geometry",
  "cell": [[5.338, 0.000, 0.000], [0.000, 5.338, 0.000], [0.000, 0.000, 10.998]],
  "species": ["Mn", "Mn", "Zn", "Zn", "Zn", "Zn", "Cu", "Cu", "S", "S", "S", "S", "S", "S", "S", "S"],
  "fractional_positions": [[0.000, 0.000, 0.000], [0.500, 0.500, 0.500], [0.000, 0.500, 0.250], [0.000, 0.500, 0.750], [0.500, 0.000, 0.250], [0.500, 0.000, 0.750], [0.000, 0.000, 0.500], [0.500, 0.500, 0.000], [0.248, 0.248, 0.377], [0.248, 0.752, 0.623], [0.252, 0.252, 0.877], [0.252, 0.748, 0.123], [0.748, 0.252, 0.123], [0.748, 0.748, 0.877], [0.752, 0.248, 0.623], [0.752, 0.752, 0.377]],
  "e_form_raw_mev_per_atom": -591,
  "vol_a3_per_atom": 19.6
}